A plane-wave DFT calculation with PBE was carried out for a geometry-optimized NdDy5Cu6 structure.

The structure in extended XYZ format:
```
12
Lattice="4.696 -0.028 1.565 0.037 6.920 0.012 -0.004 -0.014 7.842" Properties=species:S:1:pos:R:3 pbc="T T T"
Cu 2.358 1.793 0.786
Dy 3.135 -0.028 6.251
Cu 3.906 1.726 3.968
Cu 2.376 5.099 0.792
Dy 0.019 3.460 0.006
Dy 1.586 3.446 3.133
Dy 1.557 -0.014 3.156
Cu 3.925 5.138 3.974
Cu 0.805 1.740 5.445
Dy 3.144 3.432 6.287
Nd 0.000 0.000 0.000
Cu 0.823 5.152 5.452
```

Properties
Energy in eV/atom: -4.60

---

A plane-wave DFT calculation with PBE was carried out for a geometry-optimized NdDy3Cu4 structure.

The structure in extended XYZ format:
```
16
Lattice="-1.903 4.485 -0.908 -6.278 -2.252 2.036 2.033 2.747 9.306" Properties=species:S:1:pos:R:3 pbc="T T T"
Dy -0.443 2.930 1.872
Cu -1.437 3.077 4.686
Cu -0.996 0.149 2.814
Cu -2.454 1.703 0.033
Dy -3.583 1.805 2.890
Dy 0.000 0.000 0.000
Nd -3.139 -1.126 1.018
Dy 1.016 1.374 4.653
Dy 0.573 4.302 6.526
Cu -5.152 4.831 7.620
Cu -5.727 0.530 1.095
Cu -4.711 1.903 5.748
Dy -2.565 3.175 7.544
Nd -2.123 0.248 5.671
Cu -4.267 -1.025 3.875
Cu -1.881 6.005 6.559
```

Properties
Energy in eV/atom: -4.59

---

What N(E_F) values result from the calculations? In sequence: 5.1, 10.4 states/eV per cell.
What magnetization values result from the calculations? In sequence: 0.0, 0.0 Bohr magnetons per cell.
What formation enthalpy at 0 K values result from the calculations? In sequence: -0.23, -0.22 eV per atom.